1.
A plane-wave DFT calculation with PBE-GGA was carried out for crystalline KBiF6 at its relaxed geometry.

## Properties
ΔE_f (raw): -2.209 eV per atom
Symmetry: Ia-3 (206)
Fermi-level density of states: 0.000 states/eV/f.u.
Calculated volume: 18.6 Å³/atom
Size of the total moment: 0.0070 μB/atom

Structure (extended XYZ):
```
32
Lattice="9.184 0.000 0.000 -3.061 8.658 0.000 -3.061 -4.329 7.498" Properties=species:S:1:pos:R:3 pbc="T T T"
K 1.531 2.165 3.749
K -1.531 4.329 0.000
K -1.531 -2.165 3.749
K 4.592 0.000 0.000
Bi 0.000 0.000 0.000
Bi 3.061 4.329 0.000
Bi -3.061 2.165 3.749
Bi 3.061 -2.165 3.749
F -0.557 1.869 0.626
F -1.206 -1.017 6.193
F -1.114 1.574 3.978
F 5.565 0.688 5.054
F -0.557 6.102 1.818
F 2.877 -0.164 3.352
F -1.206 1.639 7.270
F -0.184 -0.656 1.931
F 1.947 0.493 0.397
F 5.938 0.820 2.215
F 1.855 3.708 1.534
F 1.947 6.591 3.123
F 3.618 2.461 6.872
F 4.267 5.347 1.305
F 4.175 2.755 3.521
F -2.504 3.641 2.444
F 3.618 -1.772 5.680
F 0.184 4.493 4.147
F 4.267 2.690 0.229
F 3.245 4.985 5.567
F 1.114 3.836 7.101
F -2.877 3.509 5.283
F 1.206 0.622 5.965
F 1.114 -2.262 4.375
```

2.
A plane-wave DFT calculation with PBE-GGA was carried out for crystalline Tb4Dy4Al at its relaxed geometry.

## Properties
Symmetry: I4/m (87)
Energy of formation: -0.043 eV/atom
Fermi-level density of states: 11.818 states/eV/f.u.
Calculated volume: 30.4 Å³/atom
Size of the total moment: 0.0000 μB/atom

Structure (extended XYZ):
```
9
Lattice="3.674 0.000 0.000 1.837 8.631 0.000 1.837 0.000 8.631" Properties=species:S:1:pos:R:3 pbc="T T T"
Tb 5.511 6.094 8.328
Tb 1.837 2.537 0.303
Tb 3.674 0.303 6.094
Tb 3.674 8.328 2.537
Dy 3.674 2.506 3.361
Dy 3.674 6.125 5.270
Dy 1.837 5.270 2.506
Dy 5.511 3.361 6.125
Al 0.000 0.000 0.000
```

3.
A plane-wave DFT calculation with PBE-GGA was carried out for crystalline Ta2Nb6Zn at its relaxed geometry.

## Properties
Symmetry: C2/m (12)
Energy of formation: 0.204 eV/atom
Fermi-level density of states: 10.173 states/eV/f.u.
Calculated volume: 18.4 Å³/atom
Size of the total moment: 0.0000 μB/atom

Structure (extended XYZ):
```
9
Lattice="2.724 0.000 0.000 1.362 7.536 0.026 1.362 1.453 8.067" Properties=species:S:1:pos:R:3 pbc="T T T"
Ta 1.362 0.537 2.599
Ta 4.086 8.452 5.494
Nb 2.724 2.675 0.877
Nb 2.724 6.314 7.216
Nb 2.724 5.897 4.499
Nb 1.362 5.371 1.875
Nb 4.086 3.619 6.219
Nb 2.724 3.092 3.594
Zn 0.000 0.000 0.000
```

4.
A plane-wave DFT calculation with PBE-GGA was carried out for crystalline Rb2TcTeO6 at its relaxed geometry.

## Properties
ΔE_f (raw): -1.256 eV per atom
Symmetry: Fm-3m (225)
Fermi-level density of states: 4.199 states/eV/f.u.
Calculated volume: 14.4 Å³/atom
Size of the total moment: 0.1024 μB/atom

Structure (extended XYZ):
```
10
Lattice="-0.616 -5.241 -2.600 5.843 -0.680 -0.018 2.412 -4.788 2.422" Properties=species:S:1:pos:R:3 pbc="T T T"
Rb 2.205 -6.494 -0.744
Rb 5.434 -4.214 0.547
Tc 0.000 0.000 0.000
Te 2.613 -2.960 -1.309
O 2.507 -3.925 0.662
O 6.408 -9.314 0.420
O 4.321 -1.755 -0.627
O 0.906 -4.166 -1.992
O 1.231 -1.394 -0.617
O 5.132 -6.783 -0.859
```

5.
A plane-wave DFT calculation with PBE-GGA was carried out for crystalline MoRuW2 at its relaxed geometry.

## Properties
Symmetry: I-42d (122)
Energy of formation: 0.869 eV/atom
Fermi-level density of states: 3.194 states/eV/f.u.
Calculated volume: 16.9 Å³/atom
Size of the total moment: 0.0000 μB/atom

Structure (extended XYZ):
```
8
Lattice="7.167 0.000 0.000 0.000 7.167 0.000 3.583 3.583 2.630" Properties=species:S:1:pos:R:3 pbc="T T T"
Ru 0.000 0.000 0.000
Ru 7.167 3.583 1.315
Mo 3.583 3.583 0.000
Mo 3.583 7.167 1.315
W 5.460 1.792 0.658
W 1.707 5.375 0.658
W 5.375 5.291 1.973
W 8.959 9.043 1.973
```